[1]
Below is a relaxed Ca4MnPb crystal, with properties calculated at the PBEsol level.

abc: 6.5001 6.5001 6.5001
angles: 60.00 60.00 60.00
Sites, in units of the cell vectors:
Ca1 0.3750 0.3750 0.3750
Ca2 0.3750 0.3750 0.8749
Ca3 0.8749 0.3750 0.3750
Ca4 0.3750 0.8749 0.3750
Mn1 0.7500 0.7500 0.7500
Pb1 0.0000 0.0000 0.0000

Values from the calculation:
The calculation puts the formation energy at 0.557 eV per atom. The value obtained for the magnetization is 3.85 μB/f.u.

=====

[2]
Below is a relaxed Ca2MnSbPb crystal, with properties calculated at the PBEsol level.

abc: 5.6778 5.8309 5.8309
angles: 90.00 90.00 90.00
Sites, in units of the cell vectors:
Pb1 0.0000 0.0000 0.0000
Sb1 0.5000 0.0000 0.0000
Ca1 0.0000 0.0000 0.5000
Ca2 0.0000 0.5000 0.0000
Mn1 0.5000 0.5000 0.5000

Values from the calculation:
The value obtained for the magnetization is 4.90 μB/f.u. The energy relative to the elements, uncorrected comes out at 0.692 eV/atom.

=====

[3]
Below is a relaxed CaMn2Pd crystal, with properties calculated at the PBEsol level.

abc: 4.5906 4.5906 4.5906
angles: 60.00 60.00 60.00
Sites, in units of the cell vectors:
Ca1 0.0000 0.0000 0.0000
Mn1 0.2500 0.2500 0.2500
Mn2 0.7500 0.7500 0.7500
Pd1 0.5000 0.5000 0.5000

Values from the calculation:
The calculation puts the formation energy at 0.368 eV per atom. The value obtained for the magnetization is 8.02 μB/f.u.

=====

[4]
Below is a relaxed CaMnPt2 crystal, with properties calculated at the PBEsol level.

abc: 3.0034 3.0034 8.8576
angles: 80.24 80.24 60.00
Sites, in units of the cell vectors:
Ca1 0.0000 0.0000 0.0000
Mn1 0.5000 0.5000 0.5000
Pt1 0.2433 0.2433 0.2702
Pt2 0.7567 0.7567 0.7298

Values from the calculation:
The calculation puts the formation energy at -0.038 eV per atom. The value obtained for the magnetization is 4.18 μB/f.u.

=====

[5]
Below is a relaxed CaMnPt2 crystal, with properties calculated at the PBEsol level.

abc: 3.0987 3.0297 7.2072
angles: 90.00 90.00 90.00
Sites, in units of the cell vectors:
Ca1 0.5000 0.5000 0.0000
Mn1 0.5000 0.5000 0.5000
Pt1 0.0000 0.0000 0.7104
Pt2 0.0000 0.0000 0.2896

Values from the calculation:
The calculation puts the formation energy at -0.440 eV per atom. The value obtained for the magnetization is 4.30 μB/f.u.

=====

[6]
Below is a relaxed Ca2MnRe crystal, with properties calculated at the PBEsol level.

abc: 3.0959 3.0959 8.9146
angles: 90.00 90.00 90.00
Sites, in units of the cell vectors:
Re1 0.5000 0.5000 0.6817
Ca1 0.0000 0.0000 0.9321
Ca2 0.5000 0.5000 0.3223
Mn1 0.0000 0.0000 0.5639

Values from the calculation:
The calculation puts the formation energy at 0.393 eV per atom. The value obtained for the magnetization is 0.00 μB/f.u.

=====

[7]
Below is a relaxed CaMnRe3 crystal, with properties calculated at the PBEsol level.

abc: 4.4988 4.4988 4.4988
angles: 90.00 90.00 90.00
Sites, in units of the cell vectors:
Re1 0.0000 0.5000 0.0000
Re2 0.0000 0.0000 0.5000
Re3 0.5000 0.0000 0.0000
Ca1 0.0000 0.0000 0.0000
Mn1 0.5000 0.5000 0.5000

Values from the calculation:
The calculation puts the formation energy at 3.293 eV per atom. The value obtained for the magnetization is 2.26 μB/f.u.

=====

[8]
Below is a relaxed CaMnRe2 crystal, with properties calculated at the PBEsol level.

abc: 3.0405 3.0395 7.1796
angles: 90.00 90.00 90.00
Sites, in units of the cell vectors:
Ca1 0.5000 0.5000 0.0000
Mn1 0.5000 0.5000 0.5000
Re1 0.0000 0.0000 0.6777
Re2 0.0000 0.0000 0.3223

Values from the calculation:
The calculation puts the formation energy at 0.566 eV per atom. The value obtained for the magnetization is 0.98 μB/f.u.

=====

[9]
Below is a relaxed CaMnRh2 crystal, with properties calculated at the PBEsol level.

abc: 3.2556 3.2556 6.3916
angles: 90.00 90.00 90.00
Sites, in units of the cell vectors:
Ca1 0.0000 0.0000 0.4843
Mn1 0.5000 0.5000 0.8297
Rh1 0.0000 0.0000 0.9709
Rh2 0.5000 0.5000 0.2152

Values from the calculation:
The calculation puts the formation energy at 0.201 eV per atom. The value obtained for the magnetization is 3.79 μB/f.u.

=====

[10]
Below is a relaxed CaMnRu3 crystal, with properties calculated at the PBEsol level.

abc: 4.4140 4.4140 4.4140
angles: 90.00 90.00 90.00
Sites, in units of the cell vectors:
Ru1 0.0000 0.5000 0.0000
Ru2 0.0000 0.0000 0.5000
Ru3 0.5000 0.0000 0.0000
Ca1 0.5000 0.5000 0.5000
Mn1 0.0000 0.0000 0.0000

Values from the calculation:
The calculation puts the formation energy at 0.828 eV per atom. The value obtained for the magnetization is 0.00 μB/f.u.

=====

[11]
Below is a relaxed CaMnRu2 crystal, with properties calculated at the PBEsol level.

abc: 2.9609 4.4555 4.6393
angles: 90.00 90.00 90.00
Sites, in units of the cell vectors:
Ca1 0.5000 0.5000 0.0000
Mn1 0.0000 0.5000 0.5000
Ru1 0.0000 0.0000 0.0000
Ru2 0.5000 0.0000 0.5000

Values from the calculation:
The calculation puts the formation energy at 0.617 eV per atom. The value obtained for the magnetization is 3.47 μB/f.u. For the energy relative to the lowest polymorph listed for this composition, the calculation gives 172 meV/atom.

=====

[12]
Below is a relaxed Ca3MnRu crystal, with properties calculated at the PBEsol level.

abc: 5.1764 5.1764 5.1764
angles: 90.00 90.00 90.00
Sites, in units of the cell vectors:
Ru1 0.5000 0.5000 0.5000
Ca1 0.0000 0.5000 0.0000
Ca2 0.0000 0.0000 0.5000
Ca3 0.5000 0.0000 0.0000
Mn1 0.0000 0.0000 0.0000

Values from the calculation:
The calculation puts the formation energy at 1.278 eV per atom. The value obtained for the magnetization is 4.13 μB/f.u.